! GGA-PBE TmAgMo, optimized geometry; values from VASP
! space group	F-43m, No. 216
! total magnetization	2.92	μB/f.u.
! energy above the lowest structure with this stoichiometry	181	meV/atom
! DFT formation energy	1.137	eV per atom
&SYSTEM
  ibrav = 0, nat = 3, ntyp = 3
/
ATOMIC_SPECIES
Tm 168.93 Tm.upf
Ag 107.87 Ag.upf
Mo 95.94 Mo.upf
CELL_PARAMETERS angstrom
0.000 3.305 3.305
3.305 0.000 3.305
3.305 3.305 0.000
ATOMIC_POSITIONS crystal
Tm 0.000 0.000 0.000
Ag 0.750 0.750 0.750
Mo 0.250 0.250 0.250